No. 1
Pm4Y2HoEr2 | PBE | relaxed

Summary:
DFT formation energy = 0.02 eV per atom
energy = -90.932 eV for the cell shown

The structure in CIF format:
```
data_Pm4Y2HoEr2
_chemical_formula_sum 'Pm8 Y4 Ho2 Er4'
_cell_length_a 18.6368
_cell_length_b 3.5866
_cell_length_c 8.8002
_cell_angle_alpha 90.00
_cell_angle_beta 90.03
_cell_angle_gamma 90.00
_space_group_name_H-M_alt 'C 1 2/m 1'
_space_group_IT_number 12
_space_group_name_Hall '-C 2y'
loop_
_atom_site_label
_atom_site_type_symbol
_atom_site_fract_x
_atom_site_fract_y
_atom_site_fract_z
Pm1 Pm 0.0554 0.0000 0.1708
Pm2 Pm 0.2220 0.5000 0.1699
Y1 Y 0.1113 0.5000 0.8293
Ho1 Ho 0.0000 0.5000 0.5000
Er1 Er 0.1669 0.0000 0.4995
```


No. 2
ErHgPb2 | PBE | relaxed

Summary:
DFT formation energy = -0.15 eV per atom
energy = -12.900 eV for the cell shown

The structure in CIF format:
```
data_ErHgPb2
_chemical_formula_sum 'Er1 Hg1 Pb2'
_cell_length_a 4.0753
_cell_length_b 4.0753
_cell_length_c 6.7947
_cell_angle_alpha 90.00
_cell_angle_beta 90.00
_cell_angle_gamma 90.00
_space_group_name_H-M_alt 'P 4/m m m'
_space_group_IT_number 123
_space_group_name_Hall '-P 4 2'
loop_
_atom_site_label
_atom_site_type_symbol
_atom_site_fract_x
_atom_site_fract_y
_atom_site_fract_z
Er1 Er 0.0000 0.0000 0.0000
Hg1 Hg 0.0000 0.0000 0.5000
Pb1 Pb 0.5000 0.5000 0.2472
```


No. 3
Cs3Sm2ThS6 | PBE | relaxed

Summary:
energy = -130.880 eV for the cell shown
energy relative to the elements, uncorrected = -1.771 eV per atom

The structure in CIF format:
```
data_Cs3Sm2ThS6
_chemical_formula_sum 'Cs6 Sm4 Th2 S12'
_cell_length_a 7.2499
_cell_length_b 12.5582
_cell_length_c 8.4637
_cell_angle_alpha 90.00
_cell_angle_beta 106.59
_cell_angle_gamma 90.00
_space_group_name_H-M_alt 'C 1 2/m 1'
_space_group_IT_number 12
_space_group_name_Hall '-C 2y'
loop_
_atom_site_label
_atom_site_type_symbol
_atom_site_fract_x
_atom_site_fract_y
_atom_site_fract_z
Cs1 Cs 0.0000 0.0000 0.0000
Cs2 Cs 0.0000 0.3322 0.0000
Sm1 Sm 0.0000 0.1666 0.5000
Th1 Th 0.0000 0.5000 0.5000
S1 S 0.2269 0.3351 0.6860
S2 S 0.2323 0.0000 0.6864
```


No. 4
LaP3H | PBE | relaxed

Summary:
ΔE to the lowest computed polymorph = 1.476 eV per atom
energy = -17.787 eV for the cell shown

The structure in CIF format:
```
data_LaP3H
_chemical_formula_sum 'La1 P3 H1'
_cell_length_a 5.6256
_cell_length_b 5.6256
_cell_length_c 5.6256
_cell_angle_alpha 90.00
_cell_angle_beta 90.00
_cell_angle_gamma 90.00
_space_group_name_H-M_alt 'P m -3 m'
_space_group_IT_number 221
_space_group_name_Hall '-P 4 2 3'
loop_
_atom_site_label
_atom_site_type_symbol
_atom_site_fract_x
_atom_site_fract_y
_atom_site_fract_z
La1 La 0.0000 0.0000 0.0000
P1 P 0.0000 0.0000 0.5000
H1 H 0.5000 0.5000 0.5000
```


No. 5
PrDyAl | PBE | relaxed

Summary:
DFT formation energy = -0.14 eV per atom
ΔE to the lowest computed polymorph = 0.080 eV per atom
energy = -13.535 eV for the cell shown

The structure in CIF format:
```
data_PrDyAl
_chemical_formula_sum 'Pr1 Dy1 Al1'
_cell_length_a 5.1370
_cell_length_b 5.1370
_cell_length_c 3.6860
_cell_angle_alpha 90.00
_cell_angle_beta 90.00
_cell_angle_gamma 120.00
_space_group_name_H-M_alt 'P 3 m 1'
_space_group_IT_number 156
_space_group_name_Hall 'P 3 -2"'
loop_
_atom_site_label
_atom_site_type_symbol
_atom_site_fract_x
_atom_site_fract_y
_atom_site_fract_z
Pr1 Pr 0.0000 0.0000 0.0000
Dy1 Dy 0.6667 0.3333 0.4374
Al1 Al 0.3333 0.6667 0.6585
```


No. 6
Ce2Ta2C3 | PBE | relaxed

Summary:
DFT formation energy = -0.39 eV per atom
energy = -131.883 eV for the cell shown

The structure in CIF format:
```
data_Ce2Ta2C3
_chemical_formula_sum 'Ce4 Ta4 C6'
_cell_length_a 12.1762
_cell_length_b 3.3996
_cell_length_c 5.9219
_cell_angle_alpha 90.00
_cell_angle_beta 111.44
_cell_angle_gamma 90.00
_space_group_name_H-M_alt 'C 1 2/m 1'
_space_group_IT_number 12
_space_group_name_Hall '-C 2y'
loop_
_atom_site_label
_atom_site_type_symbol
_atom_site_fract_x
_atom_site_fract_y
_atom_site_fract_z
Ce1 Ce 0.1104 0.0000 0.3262
Ta1 Ta 0.1521 0.5000 0.8316
C1 C 0.0000 0.5000 0.5000
C2 C 0.2473 0.0000 0.7685
```